First-principles (GGA-PBE) data for a relaxed LaCr2Cu crystal, as listed in Alexandria.

```
data_LaCr2Cu
_chemical_formula_sum 'La1 Cr2 Cu1'
_cell_length_a 3.100
_cell_length_b 3.100
_cell_length_c 7.379
_cell_angle_alpha 90.00
_cell_angle_beta 90.00
_cell_angle_gamma 90.00
_symmetry_space_group_name_H-M 'P 4 m m'
_symmetry_Int_Tables_number 99
loop_
_symmetry_equiv_pos_as_xyz
'x,y,z'
'-y,x,z'
'-x,-y,z'
'y,-x,z'
'-x,y,z'
'y,x,z'
'x,-y,z'
'-y,-x,z'
loop_
_atom_site_label
_atom_site_type_symbol
_atom_site_fract_x
_atom_site_fract_y
_atom_site_fract_z
_atom_site_occupancy
La1 La 0.000 0.000 0.000 1
Cr1 Cr 0.000 0.000 0.483 1
Cr2 Cr 0.500 0.500 0.330 1
Cu1 Cu 0.500 0.500 0.690 1
```

Properties
- energy relative to the elements (eV per atom) = 0.318
- VASP energy (eV/atom) = -6.75
- calculated density (g cm⁻³) = 7.18
- energy relative to the lowest polymorph listed for this composition (meV/atom) = 23